No. 1
The following is a DFT calculation (SCAN) of a crystal of Cu2RePt relaxed with PBEsol.

Properties
M_tot in μB per formula unit: 0.00
SG: P2/m (10)
Formation energy from the elements in kcal/mol of atoms: 3.2

Cell lengths 2.6004, 4.3121, 4.7973 Å; angles 90.00, 91.78, 90.00 degrees
Last column: nearest neighbours and their distance in Å.
Element x y z (fractional)
1 Cu 0.1557 0.0000 0.2356  3 Cu 2.38-2.60, 2 Pt 2.54, 2 Re 2.61
2 Cu 0.8443 0.0000 0.7644  3 Cu 2.38-2.60, 2 Pt 2.54, 2 Re 2.61
3 Re 0.5000 0.5000 0.0000  2 Re 2.60, 4 Cu 2.61, 4 Pt 2.69-2.76
4 Pt 0.0000 0.5000 0.5000  4 Cu 2.54, 2 Pt 2.60, 4 Re 2.69-2.76

=====

No. 2
The following is a DFT calculation (SCAN) of a crystal of K2Sb relaxed with PBEsol.

Properties
Final energy in eV per atom: -18.4778
M_tot in μB per formula unit: 0.00
SG: C2/m (12)

Cell lengths 5.8975, 5.8975, 8.5603 Å; angles 109.81, 109.81, 59.48 degrees
Last column: nearest neighbours and their distance in Å.
Element x y z (fractional)
1 K 0.1346 0.1346 0.4118  3 Sb 3.48-3.49, 4 K 3.62-3.69
2 K 0.2960 0.2960 0.8797  4 Sb 3.42-3.73, 1 K 3.69
3 K 0.7040 0.7040 0.1203  4 Sb 3.42-3.73, 1 K 3.69
4 K 0.8654 0.8654 0.5882  3 Sb 3.48-3.49, 4 K 3.62-3.69
5 Sb 0.4345 0.4345 0.3137  1 Sb 2.94
6 Sb 0.5655 0.5655 0.6863  1 Sb 2.94

=====

No. 3
The following is a DFT calculation (SCAN) of a crystal of CrAs2P relaxed with PBEsol.

Properties
M_tot in μB per formula unit: 3.21
SG: Cmmm (65)
Formation energy from the elements in kcal/mol of atoms: 1.9

Cell lengths 3.6310, 3.6310, 4.9464 Å; angles 90.00, 90.00, 90.26 degrees
Last column: nearest neighbours and their distance in Å.
Element x y z (fractional)
1 Cr 0.0000 0.0000 0.0000  4 P 2.56-2.57, 4 As 2.78
2 As 0.2486 0.2486 0.5000  4 As 2.55-2.58, 2 Cr 2.78, 2 P 2.79
3 As 0.7514 0.7514 0.5000  4 As 2.55-2.58, 2 Cr 2.78, 2 P 2.79
4 P 0.5000 0.5000 0.0000  4 Cr 2.56-2.57, 4 As 2.79

=====

No. 4
The following is a DFT calculation (SCAN) of a crystal of La2W relaxed with PBEsol.

Properties
M_tot in μB per formula unit: 0.00
SG: Immm (71)
Formation energy from the elements in kcal/mol of atoms: 17.6

Cell lengths 5.5715, 5.5715, 5.5715 Å; angles 148.14, 127.20, 63.00 degrees
Last column: nearest neighbours and their distance in Å.
Element x y z (fractional)
1 La 0.1581 0.1581 0.0000  3 La 3.00-3.06, 5 W 3.25-3.28
2 La 0.8419 0.8419 0.0000  3 La 3.00-3.06, 5 W 3.25-3.28
3 W 0.5000 0.5000 0.0000  2 W 3.06, 10 La 3.25-3.28

=====

No. 5
The following is a DFT calculation (SCAN) of a crystal of La2MnSbRu relaxed with PBEsol.

Properties
Final energy in eV per atom: -35.7766
M_tot in μB per formula unit: 5.02
SG: P4/mmm (123)

Cell lengths 5.3247, 5.3247, 4.8086 Å; angles 90.00, 90.00, 90.00 degrees
Last column: nearest neighbours and their distance in Å.
Element x y z (fractional)
1 La 0.0000 0.5000 0.0000  2 Ru 2.66
2 La 0.5000 0.0000 0.0000  2 Ru 2.66
3 Mn 0.0000 0.0000 0.5000  2 Ru 2.40
4 Sb 0.5000 0.5000 0.5000  8 La 3.59, 4 Mn 3.77
5 Ru 0.0000 0.0000 0.0000  2 Mn 2.40, 4 La 2.66

=====

No. 6
The following is a DFT calculation (SCAN) of a crystal of ZrSnTe2I relaxed with PBEsol.

Properties
Final energy in eV per atom: -35.0188
M_tot in μB per formula unit: 1.85
SG: P4/mmm (123)

Cell lengths 5.5841, 5.5841, 5.5636 Å; angles 90.00, 90.00, 90.00 degrees
Last column: nearest neighbours and their distance in Å.
Element x y z (fractional)
1 Zr 0.0000 0.0000 0.0000  8 Te 3.94, 4 I 3.95
2 Sn 0.5000 0.5000 0.5000  2 I 2.78, 4 Te 2.79
3 Te 0.0000 0.5000 0.5000  2 Sn 2.79
4 Te 0.5000 0.0000 0.5000  2 Sn 2.79
5 I 0.5000 0.5000 0.0000  2 Sn 2.78

=====

No. 7
The following is a DFT calculation (SCAN) of a crystal of BeSiP2H relaxed with PBEsol.

Properties
Final energy in eV per atom: -6.5465
M_tot in μB per formula unit: 0.01
SG: P4/mmm (123)

Cell lengths 4.0584, 4.0584, 4.3988 Å; angles 90.00, 90.00, 90.00 degrees
Last column: nearest neighbours and their distance in Å.
Element x y z (fractional)
1 Be 0.0000 0.0000 0.0000  4 P 2.03, 2 Si 2.20
2 Si 0.0000 0.0000 0.5000  2 Be 2.20
3 P 0.0000 0.5000 0.0000  2 Be 2.03
4 P 0.5000 0.0000 0.0000  2 Be 2.03
5 H 0.5000 0.5000 0.5000  4 Si 2.87, 8 P 2.99

=====

No. 8
The following is a DFT calculation (SCAN) of a crystal of Ti2CuNi relaxed with PBEsol.

Properties
M_tot in μB per formula unit: 0.00
SG: P4/mmm (123)
Formation energy from the elements in kcal/mol of atoms: -5.6

Cell lengths 2.9748, 2.9748, 6.1032 Å; angles 90.00, 90.00, 90.00 degrees
Last column: nearest neighbours and their distance in Å.
Element x y z (fractional)
1 Ti 0.0000 0.0000 0.2432  4 Ni 2.57, 4 Cu 2.62
2 Ti 0.0000 0.0000 0.7568  4 Ni 2.57, 4 Cu 2.62
3 Cu 0.5000 0.5000 0.5000  8 Ti 2.62
4 Ni 0.5000 0.5000 0.0000  8 Ti 2.57

=====

No. 9
The following is a DFT calculation (SCAN) of a crystal of Li2Tl relaxed with PBEsol.

Properties
M_tot in μB per formula unit: 0.00
SG: P6/mmm (191)
Formation energy from the elements in kcal/mol of atoms: -7.3

Cell lengths 4.6334, 4.6334, 2.9703 Å; angles 90.00, 90.00, 120.00 degrees
Last column: nearest neighbours and their distance in Å.
Element x y z (fractional)
1 Li 0.3333 0.6667 0.0000  5 Li 2.68-2.97
2 Li 0.6667 0.3333 0.0000  5 Li 2.68-2.97
3 Tl 0.0000 0.0000 0.5000  2 Tl 2.97, 12 Li 3.06

=====

No. 10
The following is a DFT calculation (SCAN) of a crystal of Tl2FeTc relaxed with PBEsol.

Properties
M_tot in μB per formula unit: 2.09
SG: Amm2 (38)
Formation energy from the elements in kcal/mol of atoms: 10.6

Cell lengths 2.9681, 8.4346, 8.4346 Å; angles 20.14, 90.00, 90.00 degrees
Last column: nearest neighbours and their distance in Å.
Element x y z (fractional)
1 Tl 0.0000 0.0000 0.0000  6 Tl 2.95-3.26, 4 Tc 2.99
2 Tl 0.5000 0.1747 0.1747  4 Fe 2.88, 4 Tl 2.95-2.97
3 Fe 0.0000 0.7939 0.7939  4 Tc 2.45
4 Tc 0.5000 0.3711 0.3711  4 Fe 2.45

=====

No. 11
The following is a DFT calculation (SCAN) of a crystal of BeNi2Ru relaxed with PBEsol.

Properties
M_tot in μB per formula unit: 1.17
SG: Amm2 (38)
Formation energy from the elements in kcal/mol of atoms: -1.4

Cell lengths 3.7008, 4.7665, 4.7665 Å; angles 30.27, 90.00, 90.00 degrees
Last column: nearest neighbours and their distance in Å.
Element x y z (fractional)
1 Be 0.0000 0.0000 0.0000  3 Ni 2.18-2.36
2 Ni 0.0000 0.2563 0.2563  3 Be 2.36-2.56, 6 Ni 2.48-2.49, 4 Ru 2.59
3 Ni 0.5000 0.8751 0.8751  2 Be 2.18, 1 Ru 2.42
4 Ru 0.5000 0.6125 0.6125  7 Ni 2.42-2.59, 4 Be 2.46, 2 Ru 2.49

=====

No. 12
The following is a DFT calculation (SCAN) of a crystal of Tl2ZnSb relaxed with PBEsol.

Properties
Final energy in eV per atom: -48.7627
M_tot in μB per formula unit: 0.00
SG: Pmm2 (25)

Cell lengths 3.3521, 3.8381, 7.8303 Å; angles 90.00, 90.00, 90.00 degrees
Last column: nearest neighbours and their distance in Å.
Element x y z (fractional)
1 Tl 0.0000 0.0000 0.0000  6 Tl 3.35-3.47, 4 Sb 3.38, 1 Zn 3.61
2 Tl 0.5000 0.5000 0.3015  4 Zn 3.15, 1 Sb 3.25, 6 Tl 3.35-3.47
3 Zn 0.0000 0.0000 0.5385  4 Sb 2.90, 4 Tl 3.15
4 Sb 0.5000 0.5000 0.7159  4 Zn 2.90, 1 Tl 3.25

=====

No. 13
The following is a DFT calculation (SCAN) of a crystal of ZnMoPb relaxed with PBEsol.

Properties
M_tot in μB per formula unit: 3.04
SG: F-43m (216)
Formation energy from the elements in kcal/mol of atoms: 19.7

Cell lengths 4.4046, 4.4046, 4.4046 Å; angles 60.00, 60.00, 60.00 degrees
Last column: nearest neighbours and their distance in Å.
Element x y z (fractional)
1 Zn 0.0000 0.0000 0.0000  4 Mo 2.70, 4 Pb 2.70
2 Mo 0.7500 0.7500 0.7500  4 Zn 2.70
3 Pb 0.2500 0.2500 0.2500  4 Zn 2.70

=====

No. 14
The following is a DFT calculation (SCAN) of a crystal of SrY2As relaxed with PBEsol.

Properties
M_tot in μB per formula unit: 0.96
SG: Amm2 (38)
Formation energy from the elements in kcal/mol of atoms: -13.5

Cell lengths 4.0467, 6.6697, 6.6697 Å; angles 43.82, 90.00, 90.00 degrees
Last column: nearest neighbours and their distance in Å.
Element x y z (fractional)
1 Sr 0.0000 0.0000 0.0000  4 As 3.27, 3 Y 3.57-3.63
2 Y 0.0000 0.7070 0.7070  2 As 2.80
3 Y 0.5000 0.3162 0.3162  1 As 2.90
4 As 0.5000 0.5502 0.5502  3 Y 2.80-2.90

=====

No. 15
The following is a DFT calculation (SCAN) of a crystal of Ba3Te3Br2O8 relaxed with PBEsol.

Properties
Final energy in eV per atom: -21.9888
M_tot in μB per formula unit: 0.00
SG: Pnma (62)

Cell lengths 12.6197, 5.9379, 18.0188 Å; angles 90.00, 90.00, 90.00 degrees
Last column: nearest neighbours and their distance in Å.
Element x y z (fractional)
1 Ba 0.0451 0.2500 0.1983  6 O 2.71-2.90
2 Ba 0.1294 0.7500 0.0154  6 O 2.74-2.82
3 Ba 0.1426 0.7500 0.5812  5 O 2.64-2.68
4 Ba 0.3574 0.2500 0.0812  5 O 2.64-2.68
5 Ba 0.3706 0.2500 0.5154  6 O 2.74-2.82
6 Ba 0.4549 0.7500 0.6983  6 O 2.71-2.90
7 Ba 0.5451 0.2500 0.3017  6 O 2.71-2.90
8 Ba 0.6294 0.7500 0.4846  6 O 2.74-2.82
9 Ba 0.6426 0.7500 0.9188  5 O 2.64-2.68
10 Ba 0.8574 0.2500 0.4188  5 O 2.64-2.68
11 Ba 0.8706 0.2500 0.9846  6 O 2.74-2.82
12 Ba 0.9549 0.7500 0.8017  6 O 2.71-2.90
13 Te 0.0414 0.7500 0.3449  3 O 1.86-1.98
14 Te 0.1281 0.2500 0.8902  3 O 1.87-1.89
15 Te 0.2497 0.2500 0.7034  3 O 1.87-1.99
16 Te 0.2503 0.7500 0.2034  3 O 1.87-1.99
17 Te 0.3719 0.7500 0.3902  3 O 1.87-1.89
18 Te 0.4586 0.2500 0.8449  3 O 1.86-1.98
19 Te 0.5414 0.7500 0.1551  3 O 1.86-1.98
20 Te 0.6281 0.2500 0.6098  3 O 1.87-1.89
21 Te 0.7497 0.2500 0.7966  3 O 1.87-1.99
22 Te 0.7503 0.7500 0.2966  3 O 1.87-1.99
23 Te 0.8719 0.7500 0.1098  3 O 1.87-1.89
24 Te 0.9586 0.2500 0.6551  3 O 1.86-1.98
25 Br 0.0950 0.2500 0.5044  1 Te 3.22, 4 Ba 3.33-3.48, 2 O 3.55
26 Br 0.2461 0.7500 0.8201  3 Ba 3.43-3.82, 6 O 3.54-3.78, 4 Te 3.55-3.64
27 Br 0.2539 0.2500 0.3201  3 Ba 3.43-3.82, 6 O 3.54-3.78, 4 Te 3.55-3.64
28 Br 0.4050 0.7500 0.0044  1 Te 3.22, 4 Ba 3.33-3.48, 2 O 3.55
29 Br 0.5950 0.2500 0.9956  1 Te 3.22, 4 Ba 3.33-3.48, 2 O 3.55
30 Br 0.7461 0.7500 0.6799  3 Ba 3.43-3.82, 6 O 3.54-3.78, 4 Te 3.55-3.64
31 Br 0.7539 0.2500 0.1799  3 Ba 3.43-3.82, 6 O 3.54-3.78, 4 Te 3.55-3.64
32 Br 0.9050 0.7500 0.4956  1 Te 3.22, 4 Ba 3.33-3.48, 2 O 3.55
33 O 0.0317 0.0153 0.9113  1 Te 1.89
34 O 0.0317 0.4847 0.9113  1 Te 1.89
35 O 0.0460 0.0112 0.6818  1 Te 1.86
36 O 0.0460 0.4888 0.6818  1 Te 1.86
37 O 0.1038 0.7500 0.2443  2 Te 1.98-1.99
38 O 0.2010 0.2500 0.9807  1 Te 1.87
39 O 0.2123 0.5172 0.1389  1 Te 1.87
40 O 0.2123 0.9828 0.1389  1 Te 1.87
41 O 0.2877 0.0172 0.6389  1 Te 1.87
42 O 0.2877 0.4828 0.6389  1 Te 1.87
43 O 0.2990 0.7500 0.4807  1 Te 1.87
44 O 0.3962 0.2500 0.7443  2 Te 1.98-1.99
45 O 0.4540 0.5112 0.1818  1 Te 1.86
46 O 0.4540 0.9888 0.1818  1 Te 1.86
47 O 0.4683 0.5153 0.4113  1 Te 1.89
48 O 0.4683 0.9847 0.4113  1 Te 1.89
49 O 0.5317 0.0153 0.5887  1 Te 1.89
50 O 0.5317 0.4847 0.5887  1 Te 1.89
51 O 0.5460 0.0112 0.8182  1 Te 1.86
52 O 0.5460 0.4888 0.8182  1 Te 1.86
53 O 0.6038 0.7500 0.2557  2 Te 1.98-1.99
54 O 0.7010 0.2500 0.5193  1 Te 1.87
55 O 0.7123 0.5172 0.3611  1 Te 1.87
56 O 0.7123 0.9828 0.3611  1 Te 1.87
57 O 0.7877 0.0172 0.8611  1 Te 1.87
58 O 0.7877 0.4828 0.8611  1 Te 1.87
59 O 0.7990 0.7500 0.0193  1 Te 1.87
60 O 0.8962 0.2500 0.7557  2 Te 1.98-1.99
61 O 0.9540 0.5112 0.3182  1 Te 1.86
62 O 0.9540 0.9888 0.3182  1 Te 1.86
63 O 0.9683 0.5153 0.0887  1 Te 1.89
64 O 0.9683 0.9847 0.0887  1 Te 1.89

=====

No. 16
The following is a DFT calculation (SCAN) of a crystal of MnMo2Ru relaxed with PBEsol.

Properties
M_tot in μB per formula unit: 3.11
SG: C2/m (12)
Formation energy from the elements in kcal/mol of atoms: 1.3

Cell lengths 4.9237, 4.9237, 2.6692 Å; angles 98.77, 98.77, 115.62 degrees
Last column: nearest neighbours and their distance in Å.
Element x y z (fractional)
1 Mn 0.0000 0.0000 0.0000  4 Mo 2.62, 2 Ru 2.62, 2 Mn 2.67
2 Mo 0.0000 0.5000 0.5000  2 Ru 2.62, 2 Mn 2.62, 4 Mo 2.62-2.67
3 Mo 0.5000 0.0000 0.5000  2 Ru 2.62, 2 Mn 2.62, 4 Mo 2.62-2.67
4 Ru 0.5000 0.5000 0.0000  4 Mo 2.62, 2 Mn 2.62, 2 Ru 2.67

=====

No. 17
The following is a DFT calculation (SCAN) of a crystal of Cd2HgPb relaxed with PBEsol.

Properties
M_tot in μB per formula unit: 0.00
SG: Cm (8)
Formation energy from the elements in kcal/mol of atoms: 1.3

Cell lengths 5.3612, 5.3612, 5.6456 Å; angles 103.29, 103.29, 37.33 degrees
Last column: nearest neighbours and their distance in Å.
Element x y z (fractional)
1 Cd 0.0000 0.0000 0.0000  3 Cd 3.00-3.21, 2 Hg 3.13, 3 Pb 3.19-3.20
2 Cd 0.7395 0.7395 0.2271  3 Cd 3.00-3.21, 3 Hg 3.02-3.18, 4 Pb 3.30-3.31
3 Hg 0.4822 0.4822 0.4549  5 Cd 3.02-3.18, 3 Pb 3.19-3.22
4 Pb 0.2428 0.2428 0.7302  7 Cd 3.19-3.31, 3 Hg 3.19-3.22, 2 Pb 3.43

=====

No. 18
The following is a DFT calculation (SCAN) of a crystal of Ca2Sn2Pd relaxed with PBEsol.

Properties
M_tot in μB per formula unit: 0.00
SG: P4/mbm (127)
Formation energy from the elements in kcal/mol of atoms: -16.9

Cell lengths 7.1121, 7.1121, 4.8667 Å; angles 90.00, 90.00, 90.00 degrees
Last column: nearest neighbours and their distance in Å.
Element x y z (fractional)
1 Ca 0.1661 0.3339 0.0000  6 Sn 3.08-3.29, 1 Ca 3.34
2 Ca 0.3339 0.8339 0.0000  6 Sn 3.08-3.29, 1 Ca 3.34
3 Ca 0.6661 0.1661 0.0000  6 Sn 3.08-3.29, 1 Ca 3.34
4 Ca 0.8339 0.6661 0.0000  6 Sn 3.08-3.29, 1 Ca 3.34
5 Sn 0.1454 0.6454 0.5000  2 Pd 2.73, 1 Sn 2.92
6 Sn 0.3546 0.1454 0.5000  2 Pd 2.73, 1 Sn 2.92
7 Sn 0.6454 0.8546 0.5000  2 Pd 2.73, 1 Sn 2.92
8 Sn 0.8546 0.3546 0.5000  2 Pd 2.73, 1 Sn 2.92
9 Pd 0.0000 0.0000 0.5000  4 Sn 2.73
10 Pd 0.5000 0.5000 0.5000  4 Sn 2.73

=====

No. 19
The following is a DFT calculation (SCAN) of a crystal of LiZnCr3 relaxed with PBEsol.

Properties
M_tot in μB per formula unit: 1.47
SG: Pm-3m (221)
Formation energy from the elements in kcal/mol of atoms: 34.2

Cell lengths 3.9025, 3.9025, 3.9025 Å; angles 90.00, 90.00, 90.00 degrees
Last column: nearest neighbours and their distance in Å.
Element x y z (fractional)
1 Li 0.0000 0.0000 0.0000  6 Cr 1.95
2 Zn 0.5000 0.5000 0.5000  12 Cr 2.76
3 Cr 0.0000 0.0000 0.5000  2 Li 1.95
4 Cr 0.0000 0.5000 0.0000  2 Li 1.95
5 Cr 0.5000 0.0000 0.0000  2 Li 1.95

=====

No. 20
The following is a DFT calculation (SCAN) of a crystal of Re2TcBr relaxed with PBEsol.

Properties
Final energy in eV per atom: -48.5562
M_tot in μB per formula unit: 0.00
SG: R3m (160)

Cell lengths 8.7381, 8.7381, 8.7381 Å; angles 18.83, 18.83, 18.83 degrees
Last column: nearest neighbours and their distance in Å.
Element x y z (fractional)
1 Re 0.0000 0.0000 0.0000  9 Re 2.67-2.86, 3 Tc 2.68
2 Re 0.2517 0.2517 0.2517  9 Re 2.67-2.86, 3 Br 2.81
3 Tc 0.7487 0.7487 0.7487  3 Br 2.67, 3 Re 2.68, 6 Tc 2.86
4 Br 0.4969 0.4969 0.4969  3 Tc 2.67, 3 Re 2.81, 6 Br 2.86

=====

Calculated density of states at the Fermi level, 2.22 1.07 2.27 4.17 3.46 2.87 1.86 4.63 1.05 2.75 3.19 1.56 1.68 2.50 0.00 3.48 1.64 2.67 5.05 3.46 states/eV per cell (same order as the records).